1.
## CaBe2Si (PBE-GGA)

Data for an optimized crystal structure of CaBe2Si.

Cell lengths 3.060, 3.060, 6.479 Å; angles 90.00, 90.00, 90.27 degrees
Element x y z (fractional)
1 Ca 0.000 0.000 0.493
2 Be 0.000 0.000 0.018
3 Be 0.500 0.500 0.167
4 Si 0.500 0.500 0.822

Computed properties:
For the size of the total moment, the calculation gives 0.0 μB/f.u. The volume is 60.7 Å³/cell. The energy relative to the elements, uncorrected comes out at 0.225 eV/atom. Its space group is Cmm2, No. 35. The density is 2.36 Mg/m³. The calculation puts the total energy at -3.495 eV per atom.

---

2.
## SbTe (PBE-GGA)

Data for an optimized crystal structure of SbTe.

Cell lengths 5.986, 5.986, 8.469 Å; angles 84.22, 84.22, 40.95 degrees
Element x y z (fractional)
1 Sb 0.598 0.598 0.732
2 Sb 0.652 0.652 0.333
3 Sb 0.021 0.021 0.968
4 Te 0.958 0.958 0.382
5 Te 0.349 0.349 0.671
6 Te 0.254 0.254 0.082

Computed properties:
For the size of the total moment, the calculation gives 0.0 μB/f.u. The volume is 197.8 Å³/cell. The energy relative to the elements, uncorrected comes out at 0.097 eV/atom. Its space group is Cm, No. 8. The density is 6.28 Mg/m³. The value obtained for the energy above the most stable polymorph in this dataset is 39 kJ/mol of formula units. The calculation puts the total energy at -3.535 eV per atom.

---

3.
## Dy3ErCo8 (PBE-GGA)

Data for an optimized crystal structure of Dy3ErCo8.

Cell lengths 5.058, 5.058, 8.768 Å; angles 73.24, 73.24, 60.00 degrees
Element x y z (fractional)
1 Co 0.437 0.437 0.189
2 Co 0.439 0.937 0.687
3 Co 0.687 0.687 0.938
4 Co 0.437 0.937 0.189
5 Co 0.937 0.937 0.687
6 Co 0.937 0.437 0.189
7 Co 0.937 0.439 0.687
8 Co 0.188 0.188 0.437
9 Er 0.875 0.875 0.375
10 Dy 0.000 0.000 0.000
11 Dy 0.375 0.375 0.875
12 Dy 0.500 0.500 0.500

Computed properties:
For the size of the total moment, the calculation gives 7.5 μB/f.u. The volume is 183.1 Å³/cell. Its space group is R3m, No. 160. The density is 10.21 Mg/m³. The value obtained for the calculated formation energy is -0.213 eV per atom. The calculation puts the total energy at -6.481 eV per atom.

---

4.
## Li2TlVBr6 (PBE-GGA)

Data for an optimized crystal structure of Li2TlVBr6.

Cell lengths 7.036, 7.037, 7.697 Å; angles 62.80, 62.79, 59.98 degrees
Element x y z (fractional)
1 Br 0.723 0.160 0.772
2 Br 0.345 0.723 0.772
3 Br 0.160 0.345 0.772
4 Br 0.942 0.560 0.226
5 Br 0.273 0.942 0.226
6 Br 0.560 0.273 0.226
7 V 0.329 0.329 0.013
8 Tl 0.810 0.810 0.569
9 Li 0.002 0.002 0.995
10 Li 0.519 0.519 0.444

Computed properties:
For the size of the total moment, the calculation gives 2.0 μB/f.u. The volume is 280.3 Å³/cell. The energy relative to the elements, uncorrected comes out at -1.071 eV/atom. Its space group is R3, No. 146. The density is 4.44 Mg/m³. The calculation puts the total energy at -3.606 eV per atom.

---

Among the records above, which one has the lowest volume?
CaBe2Si

---

size of the total moment of number 1 (CaBe2Si)?
0.0 μB/f.u.

---

What is the formula in the first record?
CaBe2Si

---

Please write out number 4 again, unchanged.
## Li2TlVBr6 (PBE-GGA)

Data for an optimized crystal structure of Li2TlVBr6.

Cell lengths 7.036, 7.037, 7.697 Å; angles 62.80, 62.79, 59.98 degrees
Element x y z (fractional)
1 Br 0.723 0.160 0.772
2 Br 0.345 0.723 0.772
3 Br 0.160 0.345 0.772
4 Br 0.942 0.560 0.226
5 Br 0.273 0.942 0.226
6 Br 0.560 0.273 0.226
7 V 0.329 0.329 0.013
8 Tl 0.810 0.810 0.569
9 Li 0.002 0.002 0.995
10 Li 0.519 0.519 0.444

Computed properties:
For the size of the total moment, the calculation gives 2.0 μB/f.u. The volume is 280.3 Å³/cell. The energy relative to the elements, uncorrected comes out at -1.071 eV/atom. Its space group is R3, No. 146. The density is 4.44 Mg/m³. The calculation puts the total energy at -3.606 eV per atom.